Record 1
VASP calculation (SCAN) on a crystal of La2HfCu relaxed with PBEsol.

## Properties
- Formation energy from the elements: 0.317 eV per atom
- Calculated total energy: -40.703 eV per atom

Cell: 7.333 7.333 7.333 Å, 90.00 90.00 90.00°
Space group Fm-3m (No. 225)
Symmetry-distinct sites (fractional):
La 0.250 0.250 0.250 [8 per cell]
Hf 0.000 0.000 0.000 [4 per cell]
Cu 0.000 0.000 0.500 [4 per cell]

Record 2
VASP calculation (SCAN) on a crystal of Na2LaHfCu relaxed with PBEsol.

## Properties
- Formation energy from the elements: 1.399 eV per atom
- Calculated total energy: -24.482 eV per atom

Cell: 5.802 5.802 5.426 Å, 90.00 90.00 90.00°
Space group P4/mmm (No. 123)
Symmetry-distinct sites (fractional):
Na 0.000 0.500 0.000 [2 per cell]
La 0.000 0.000 0.500 [1 per cell]
Hf 0.000 0.000 0.000 [1 per cell]
Cu 0.500 0.500 0.500 [1 per cell]

Record 3
VASP calculation (SCAN) on a crystal of Li2HfCu relaxed with PBEsol.

## Properties
- Formation energy from the elements: 0.489 eV per atom
- Calculated total energy: -20.174 eV per atom

Cell: 7.091 7.091 5.159 Å, 90.00 90.00 90.00°
Space group I-42d (No. 122)
Symmetry-distinct sites (fractional):
Li 0.202 0.250 0.125 [8 per cell]
Hf 0.000 0.000 0.500 [4 per cell]
Cu 0.000 0.000 0.000 [4 per cell]

Record 4
VASP calculation (SCAN) on a crystal of Li3HfCu relaxed with PBEsol.

## Properties
- Formation energy from the elements: 1.653 eV per atom
- Calculated total energy: -15.356 eV per atom

Cell: 5.131 5.131 5.131 Å, 90.00 90.00 90.00°
Space group Pm-3m (No. 221)
Symmetry-distinct sites (fractional):
Li 0.000 0.000 0.500 [3 per cell]
Hf 0.000 0.000 0.000 [1 per cell]
Cu 0.500 0.500 0.500 [1 per cell]

Record 5
VASP calculation (SCAN) on a crystal of HfMg3Cu relaxed with PBEsol.

## Properties
- Formation energy from the elements: 1.683 eV per atom
- Calculated total energy: -16.875 eV per atom

Cell: 5.502 5.502 5.502 Å, 90.00 90.00 90.00°
Space group Pm-3m (No. 221)
Symmetry-distinct sites (fractional):
Hf 0.000 0.000 0.000 [1 per cell]
Mg 0.000 0.000 0.500 [3 per cell]
Cu 0.500 0.500 0.500 [1 per cell]

Record 6
VASP calculation (SCAN) on a crystal of HfTi2CuMo relaxed with PBEsol.

## Properties
- Formation energy from the elements: 0.837 eV per atom
- Calculated total energy: -28.127 eV per atom

Cell: 4.490 4.490 4.763 Å, 90.00 90.00 90.00°
Space group P4/mmm (No. 123)
Symmetry-distinct sites (fractional):
Hf 0.000 0.000 0.000 [1 per cell]
Ti 0.000 0.500 0.500 [2 per cell]
Cu 0.500 0.500 0.000 [1 per cell]
Mo 0.500 0.500 0.500 [1 per cell]

Record 7
VASP calculation (SCAN) on a crystal of HfCuN2 relaxed with PBEsol.

## Properties
- Calculated total energy: -24.308 eV per atom
- Formation energy without anion corrections: -0.8 eV per formula unit

Cell: 5.371 5.371 5.371 Å, 90.00 90.00 90.00°
Space group Fm-3m (No. 225)
Symmetry-distinct sites (fractional):
Hf 0.000 0.000 0.000 [4 per cell]
Cu 0.000 0.000 0.500 [4 per cell]
N 0.250 0.250 0.250 [8 per cell]

Record 8
VASP calculation (SCAN) on a crystal of NaHf3Cu relaxed with PBEsol.

## Properties
- Formation energy from the elements: 0.787 eV per atom
- Calculated total energy: -40.700 eV per atom

Cell: 4.904 4.904 4.904 Å, 90.00 90.00 90.00°
Space group Pm-3m (No. 221)
Symmetry-distinct sites (fractional):
Na 0.000 0.000 0.000 [1 per cell]
Hf 0.000 0.500 0.500 [3 per cell]
Cu 0.500 0.500 0.500 [1 per cell]

Record 9
VASP calculation (SCAN) on a crystal of NaHf2CuSe relaxed with PBEsol.

## Properties
- Calculated total energy: -31.368 eV per atom
- Formation energy without anion corrections: 8.0 eV per formula unit

Cell: 4.908 4.908 4.616 Å, 90.00 90.00 90.00°
Space group P4/mmm (No. 123)
Symmetry-distinct sites (fractional):
Na 0.000 0.000 0.000 [1 per cell]
Hf 0.000 0.500 0.000 [2 per cell]
Cu 0.500 0.500 0.500 [1 per cell]
Se 0.000 0.000 0.500 [1 per cell]

Record 10
VASP calculation (SCAN) on a crystal of NaHfCuSe3 relaxed with PBEsol.

## Properties
- Calculated total energy: -24.905 eV per atom
- Formation energy without anion corrections: -7.1 eV per formula unit

Cell: 13.452 3.780 10.131 Å, 90.00 90.00 90.00°
Space group Pnma (No. 62)
Symmetry-distinct sites (fractional):
Na 0.227 0.250 0.048 [4 per cell]
Hf 0.010 0.250 0.322 [4 per cell]
Cu 0.008 0.750 0.091 [4 per cell]
Se 0.103 0.250 0.564 [4 per cell]
Se 0.106 0.750 0.881 [4 per cell]
Se 0.139 0.750 0.255 [4 per cell]

Record 11
VASP calculation (SCAN) on a crystal of NaHf2CuSe5 relaxed with PBEsol.

## Properties
- Calculated total energy: -28.527 eV per atom
- Formation energy without anion corrections: -11.6 eV per formula unit

Cell: 3.736 13.625 16.038 Å, 90.00 90.00 90.00°
Space group Cmcm (No. 63)
Symmetry-distinct sites (fractional):
Na 0.000 0.028 0.250 [4 per cell]
Hf 0.000 0.212 0.599 [8 per cell]
Cu 0.000 0.318 0.250 [4 per cell]
Se 0.000 0.156 0.060 [8 per cell]
Se 0.000 0.296 0.750 [4 per cell]
Se 0.000 0.422 0.129 [8 per cell]

Record 12
VASP calculation (SCAN) on a crystal of HfNb3Cu relaxed with PBEsol.

## Properties
- Formation energy from the elements: 1.831 eV per atom
- Calculated total energy: -33.621 eV per atom

Cell: 4.805 4.805 4.805 Å, 90.00 90.00 90.00°
Space group Pm-3m (No. 221)
Symmetry-distinct sites (fractional):
Hf 0.000 0.000 0.000 [1 per cell]
Nb 0.000 0.000 0.500 [3 per cell]
Cu 0.500 0.500 0.500 [1 per cell]

Record 13
VASP calculation (SCAN) on a crystal of Hf3NbCu relaxed with PBEsol.

## Properties
- Formation energy from the elements: 1.290 eV per atom
- Calculated total energy: -45.980 eV per atom

Cell: 4.953 4.953 4.953 Å, 90.00 90.00 90.00°
Space group Pm-3m (No. 221)
Symmetry-distinct sites (fractional):
Hf 0.000 0.000 0.500 [3 per cell]
Nb 0.000 0.000 0.000 [1 per cell]
Cu 0.500 0.500 0.500 [1 per cell]

Record 14
VASP calculation (SCAN) on a crystal of HfZrNbCu2 relaxed with PBEsol.

## Properties
- Formation energy from the elements: 1.096 eV per atom
- Calculated total energy: -30.284 eV per atom

Cell: 4.627 4.627 4.789 Å, 90.00 90.00 90.00°
Space group P4/mmm (No. 123)
Symmetry-distinct sites (fractional):
Hf 0.000 0.000 0.000 [1 per cell]
Zr 0.500 0.500 0.500 [1 per cell]
Nb 0.000 0.000 0.500 [1 per cell]
Cu 0.000 0.500 0.000 [2 per cell]

Record 15
VASP calculation (SCAN) on a crystal of HfCuP2 relaxed with PBEsol.

## Properties
- Formation energy from the elements: -0.184 eV per atom
- Calculated total energy: -24.851 eV per atom

Cell: 6.212 6.212 6.212 Å, 90.00 90.00 90.00°
Space group Fm-3m (No. 225)
Symmetry-distinct sites (fractional):
Hf 0.000 0.000 0.000 [4 per cell]
Cu 0.000 0.000 0.500 [4 per cell]
P 0.250 0.250 0.250 [8 per cell]

Record 16
VASP calculation (SCAN) on a crystal of Hf4CuP relaxed with PBEsol.

## Properties
- Formation energy from the elements: -0.588 eV per atom
- Calculated total energy: -46.637 eV per atom

Cell: 6.377 6.377 5.182 Å, 90.00 90.00 90.00°
Space group P4/mcc (No. 124)
Symmetry-distinct sites (fractional):
Hf 0.155 0.340 0.000 [8 per cell]
Cu 0.500 0.500 0.250 [2 per cell]
P 0.000 0.000 0.250 [2 per cell]

Record 17
VASP calculation (SCAN) on a crystal of Hf2Cu2Pd relaxed with PBEsol.

## Properties
- Formation energy from the elements: -0.398 eV per atom
- Calculated total energy: -38.102 eV per atom

Cell: 6.801 6.801 3.424 Å, 90.00 90.00 90.00°
Space group P4/mbm (No. 127)
Symmetry-distinct sites (fractional):
Hf 0.175 0.325 0.000 [4 per cell]
Cu 0.125 0.625 0.500 [4 per cell]
Pd 0.000 0.000 0.500 [2 per cell]

Record 18
VASP calculation (SCAN) on a crystal of HfCu3Pd relaxed with PBEsol.

## Properties
- Formation energy from the elements: 1.561 eV per atom
- Calculated total energy: -26.648 eV per atom

Cell: 4.639 4.639 4.639 Å, 90.00 90.00 90.00°
Space group Pm-3m (No. 221)
Symmetry-distinct sites (fractional):
Hf 0.000 0.000 0.000 [1 per cell]
Cu 0.000 0.000 0.500 [3 per cell]
Pd 0.500 0.500 0.500 [1 per cell]

Record 19
VASP calculation (SCAN) on a crystal of HfCuRePd2 relaxed with PBEsol.

## Properties
- Formation energy from the elements: 0.795 eV per atom
- Calculated total energy: -42.109 eV per atom

Cell: 4.420 4.420 4.443 Å, 90.00 90.00 90.00°
Space group P4/mmm (No. 123)
Symmetry-distinct sites (fractional):
Hf 0.000 0.000 0.000 [1 per cell]
Cu 0.500 0.500 0.500 [1 per cell]
Re 0.500 0.500 0.000 [1 per cell]
Pd 0.000 0.500 0.500 [2 per cell]

Record 20
VASP calculation (SCAN) on a crystal of HfCu2Pt2 relaxed with PBEsol.

## Properties
- Formation energy from the elements: -0.600 eV per atom
- Calculated total energy: -47.292 eV per atom

Cell: 3.417 3.417 13.286 Å, 90.00 90.00 90.00°
Space group I4/mmm (No. 139)
Symmetry-distinct sites (fractional):
Hf 0.000 0.000 0.000 [2 per cell]
Cu 0.000 0.500 0.250 [4 per cell]
Pt 0.000 0.000 0.397 [4 per cell]

Record 21
VASP calculation (SCAN) on a crystal of Hf2Cu2Pt relaxed with PBEsol.

## Properties
- Formation energy from the elements: -0.603 eV per atom
- Calculated total energy: -45.791 eV per atom

Cell: 6.757 6.757 3.437 Å, 90.00 90.00 90.00°
Space group P4/mbm (No. 127)
Symmetry-distinct sites (fractional):
Hf 0.177 0.323 0.000 [4 per cell]
Cu 0.124 0.624 0.500 [4 per cell]
Pt 0.000 0.000 0.500 [2 per cell]

Record 22
VASP calculation (SCAN) on a crystal of HfZn2CuPt relaxed with PBEsol.

## Properties
- Formation energy from the elements: 0.469 eV per atom
- Calculated total energy: -34.550 eV per atom

Cell: 4.569 4.569 4.627 Å, 90.00 90.00 90.00°
Space group P4/mmm (No. 123)
Symmetry-distinct sites (fractional):
Hf 0.000 0.000 0.000 [1 per cell]
Zn 0.000 0.500 0.500 [2 per cell]
Cu 0.500 0.500 0.000 [1 per cell]
Pt 0.500 0.500 0.500 [1 per cell]

Record 23
VASP calculation (SCAN) on a crystal of Hf3CuRe relaxed with PBEsol.

## Properties
- Formation energy from the elements: 0.821 eV per atom
- Calculated total energy: -54.042 eV per atom

Cell: 4.950 4.950 4.950 Å, 90.00 90.00 90.00°
Space group Pm-3m (No. 221)
Symmetry-distinct sites (fractional):
Hf 0.000 0.000 0.500 [3 per cell]
Cu 0.500 0.500 0.500 [1 per cell]
Re 0.000 0.000 0.000 [1 per cell]

Record 24
VASP calculation (SCAN) on a crystal of Hf2CuRh relaxed with PBEsol.

## Properties
- Formation energy from the elements: -0.575 eV per atom
- Calculated total energy: -44.154 eV per atom

Cell: 6.428 6.428 6.428 Å, 90.00 90.00 90.00°
Space group Fm-3m (No. 225)
Symmetry-distinct sites (fractional):
Hf 0.250 0.250 0.250 [8 per cell]
Cu 0.000 0.000 0.000 [4 per cell]
Rh 0.000 0.000 0.500 [4 per cell]

Record 25
VASP calculation (SCAN) on a crystal of HfCu2RuW relaxed with PBEsol.

## Properties
- Formation energy from the elements: 2.173 eV per atom
- Calculated total energy: -37.345 eV per atom

Cell: 4.534 4.534 4.698 Å, 90.00 90.00 90.00°
Space group P4/mmm (No. 123)
Symmetry-distinct sites (fractional):
Hf 0.000 0.000 0.000 [1 per cell]
Cu 0.000 0.500 0.000 [2 per cell]
Ru 0.500 0.500 0.500 [1 per cell]
W 0.000 0.000 0.500 [1 per cell]

Record 26
VASP calculation (SCAN) on a crystal of HfTlCuS3 relaxed with PBEsol.

## Properties
- Calculated total energy: -30.977 eV per atom
- Formation energy without anion corrections: -6.7 eV per formula unit

Cell: 3.643 13.941 9.598 Å, 90.00 90.00 90.00°
Space group Cmcm (No. 63)
Symmetry-distinct sites (fractional):
Hf 0.000 0.000 0.000 [4 per cell]
Tl 0.000 0.254 0.250 [4 per cell]
Cu 0.000 0.462 0.750 [4 per cell]
S 0.000 0.063 0.750 [4 per cell]
S 0.000 0.376 0.549 [8 per cell]